Entry from Alexandria via LeMat-Bulk: YZn3Sb after structural relaxation (GGA-PBE).

Cell: 5.4119 5.4119 5.4119 Å, 90.00 90.00 90.00°
Last column: nearest neighbours and their distance in Å.
Sites, in units of the cell vectors:
Sb (0.5000, 0.5000, 0.5000)  12 Zn 3.83
Zn (0.0000, 0.5000, 0.0000)  2 Y 2.71
Zn (0.0000, 0.0000, 0.5000)  2 Y 2.71
Zn (0.5000, 0.0000, 0.0000)  2 Y 2.71
Y (0.0000, 0.0000, 0.0000)  6 Zn 2.71

E_form (uncorrected) ... 851 meV/atom
Total energy ... -10.2 eV/cell
Magnetic moment ... 0.00 Bohr magnetons per cell
SG ... Pm-3m (221)